Run one
DFT (PBE-GGA) results for a geometry-optimized MgHRh3 structure.

The structure in POSCAR format:
```
MgHRh3
1.0
2.682 -4.596 0.000
2.682 4.596 0.000
0.000 0.000 5.274
Rh Mg H
6 2 2
Cartesian
1.408 1.885 1.318 Rh
3.955 -1.885 3.955 Rh
0.000 0.000 0.000 Rh
1.408 -1.885 3.955 Rh
3.955 1.885 1.318 Rh
0.000 0.000 2.637 Rh
2.682 -0.538 1.318 Mg
2.682 0.538 3.955 Mg
2.682 3.294 1.318 H
2.682 -3.294 3.955 H
```

**N(E_F)**: 1.143 states/eV per atom
**Magnetization**: 0.00 μB/cell

---

Run two
DFT (PBE-GGA) results for a geometry-optimized MgHRh3 structure.

The structure in POSCAR format:
```
MgHRh3
1.0
4.499 0.000 0.956
0.000 5.566 0.000
-0.864 0.000 4.747
H Rh Mg
2 6 2
Cartesian
-0.013 1.391 0.183 H
3.648 4.174 5.520 H
0.427 0.002 4.213 Rh
0.878 1.391 1.850 Rh
0.427 2.781 4.213 Rh
2.757 4.174 3.853 Rh
3.208 5.564 1.490 Rh
3.208 2.785 1.490 Rh
0.820 4.174 1.876 Mg
2.815 1.391 3.827 Mg
```

**N(E_F)**: 0.814 states/eV per atom
**Magnetization**: 0.00 μB/cell

---

What should be chosen as the least stable of them? Choose run one.